[1]
{"formula": "Li2Sb2Os", "functional": "PBEsol", "state": "optimized geometry", "lattice": [[6.760, 0.000, 0.000], [0.000, 6.760, 0.000], [0.000, 0.000, 4.285]], "species": ["Li", "Li", "Li", "Li", "Sb", "Sb", "Sb", "Sb", "Os", "Os"], "fractional_positions": [[0.168, 0.332, 0.000], [0.332, 0.832, 0.000], [0.668, 0.168, 0.000], [0.832, 0.668, 0.000], [0.148, 0.648, 0.500], [0.352, 0.148, 0.500], [0.648, 0.852, 0.500], [0.852, 0.352, 0.500], [0.000, 0.000, 0.500], [0.500, 0.500, 0.500]], "volume_a3_per_atom": 19.58, "sg": "P4/mbm", "e_form_raw_mev_per_atom": -62.1}

---

[2]
{"formula": "CaReSb2", "functional": "PBEsol", "state": "optimized geometry", "lattice": [[6.987, 0.000, 0.000], [0.000, 6.987, 0.000], [0.000, 0.000, 6.987]], "species": ["Ca", "Ca", "Ca", "Ca", "Re", "Re", "Re", "Re", "Sb", "Sb", "Sb", "Sb", "Sb", "Sb", "Sb", "Sb"], "fractional_positions": [[0.000, 0.000, 0.000], [0.000, 0.500, 0.500], [0.500, 0.000, 0.500], [0.500, 0.500, 0.000], [0.250, 0.250, 0.750], [0.250, 0.750, 0.250], [0.750, 0.250, 0.250], [0.750, 0.750, 0.750], [0.000, 0.000, 0.500], [0.000, 0.500, 0.000], [0.250, 0.250, 0.250], [0.250, 0.750, 0.750], [0.500, 0.000, 0.000], [0.500, 0.500, 0.500], [0.750, 0.250, 0.750], [0.750, 0.750, 0.250]], "volume_a3_per_atom": 21.32, "sg": "F-43m", "e_form_raw_mev_per_atom": 548.9, "relative_energy_mev_per_atom": 331}

---

[3]
{"formula": "MgSc2", "functional": "PBEsol", "state": "optimized geometry", "lattice": [[11.857, 0.000, 0.000], [0.000, 3.232, 0.000], [-1.972, 0.000, 7.265]], "species": ["Mg", "Mg", "Mg", "Mg", "Sc", "Sc", "Sc", "Sc", "Sc", "Sc", "Sc", "Sc"], "fractional_positions": [[0.029, 0.000, 0.298], [0.471, 0.500, 0.702], [0.529, 0.500, 0.298], [0.971, 0.000, 0.702], [0.144, 0.500, 0.034], [0.186, 0.500, 0.633], [0.314, 0.000, 0.367], [0.356, 0.000, 0.966], [0.644, 0.000, 0.034], [0.686, 0.000, 0.633], [0.814, 0.500, 0.367], [0.856, 0.500, 0.966]], "volume_a3_per_atom": 23.20, "e_form_ev_per_atom": 0.002, "sg": "C2/m"}

---

[4]
{"formula": "IrOsRh", "functional": "PBEsol", "state": "optimized geometry", "lattice": [[2.697, 0.000, 0.000], [-1.349, 2.336, 0.000], [0.000, 0.000, 6.607]], "species": ["Ir", "Os", "Rh"], "fractional_positions": [[0.000, 0.000, 0.000], [0.333, 0.667, 0.671], [0.667, 0.333, 0.342]], "volume_a3_per_atom": 13.87, "e_form_ev_per_atom": 0.018, "sg": "P3m1", "relative_energy_mev_per_atom": 30}

---

[5]
{"formula": "ErPd3S4", "functional": "PBEsol", "state": "optimized geometry", "lattice": [[6.574, 0.000, 0.000], [0.000, 6.574, 0.000], [0.000, 0.000, 6.574]], "species": ["Er", "Er", "Pd", "Pd", "Pd", "Pd", "Pd", "Pd", "S", "S", "S", "S", "S", "S", "S", "S"], "fractional_positions": [[0.000, 0.000, 0.000], [0.500, 0.500, 0.500], [0.000, 0.250, 0.500], [0.000, 0.750, 0.500], [0.250, 0.500, 0.000], [0.500, 0.000, 0.250], [0.500, 0.000, 0.750], [0.750, 0.500, 0.000], [0.250, 0.250, 0.250], [0.250, 0.250, 0.750], [0.250, 0.750, 0.250], [0.250, 0.750, 0.750], [0.750, 0.250, 0.250], [0.750, 0.250, 0.750], [0.750, 0.750, 0.250], [0.750, 0.750, 0.750]], "volume_a3_per_atom": 17.76, "sg": "Pm-3n", "e_form_raw_mev_per_atom": -941.4}

---

[6]
{"formula": "Te2Au", "functional": "PBEsol", "state": "optimized geometry", "lattice": [[12.556, 0.000, 0.000], [0.000, 4.102, 0.000], [-0.071, 0.000, 3.116]], "species": ["Te", "Te", "Te", "Te", "Au", "Au"], "fractional_positions": [[0.144, 0.000, 0.006], [0.356, 0.500, 0.994], [0.644, 0.500, 0.006], [0.856, 0.000, 0.994], [0.000, 0.500, 0.000], [0.500, 0.000, 0.000]], "volume_a3_per_atom": 26.74, "sg": "C2/m", "e_form_raw_mev_per_atom": -72.5}